[1]
Entry from the Alexandria database: a geometry-optimized PuPSe2 structure (GGA-PBE).

a = 3.673 Å, b = 3.673 Å, c = 8.930 Å
α = 78.13°, β = 78.13°, γ = 60.00°
Site moments in Bohr magnetons follow the coordinates.
Atoms (fractional coordinates):
1 P 0.500 0.500 0.500  0.03
2 Se 0.110 0.110 0.670  -0.05
3 Se 0.890 0.890 0.330  -0.05
4 Pu 0.000 0.000 0.000  5.82

Values from the calculation:
Uncorrected formation energy ... -0.001 eV/f.u.
Magnetic moment ... 6.49 Bohr magnetons per cell
Space group ... No. 166
Crystal system ... trigonal


[2]
Entry from the Alexandria database: a geometry-optimized Pu2PSe structure (GGA-PBE).

a = 4.076 Å, b = 4.076 Å, c = 7.116 Å
α = 90.01°, β = 106.64°, γ = 119.99°
Site moments in Bohr magnetons follow the coordinates.
Atoms (fractional coordinates):
1 Pu 0.510 0.255 0.766  5.23
2 Pu 0.490 0.745 0.234  5.23
3 P 0.000 0.000 0.000  -0.15
4 Se 0.000 0.500 0.500  -0.11

Values from the calculation:
Uncorrected formation energy ... -5.499 eV/f.u.
Polymorph energy (0 for the lowest one) ... 0.0 kJ per mole of atoms
Magnetic moment ... 10.82 Bohr magnetons per cell
Space group ... No. 166
Crystal system ... trigonal


[3]
Entry from the Alexandria database: a geometry-optimized Pu8P3Se5 structure (GGA-PBE).

a = 8.170 Å, b = 8.170 Å, c = 8.192 Å
α = 60.09°, β = 60.09°, γ = 60.00°
Site moments in Bohr magnetons follow the coordinates.
Atoms (fractional coordinates):
1 Pu 0.250 0.250 0.739  5.20
2 Pu 0.250 0.761 0.739  5.20
3 Pu 0.761 0.250 0.739  5.20
4 Pu 0.755 0.755 0.736  -5.13
5 Pu 0.750 0.750 0.261  5.20
6 Pu 0.750 0.239 0.261  5.20
7 Pu 0.239 0.750 0.261  5.20
8 Pu 0.245 0.245 0.264  -5.13
9 P 0.500 0.000 0.500  -0.05
10 P 0.000 0.000 0.500  -0.05
11 P 0.000 0.500 0.500  -0.05
12 Se 0.500 0.000 0.000  -0.03
13 Se 0.500 0.500 0.000  -0.03
14 Se 0.000 0.000 0.000  -0.11
15 Se 0.000 0.500 0.000  -0.03
16 Se 0.500 0.500 0.500  -0.11

Values from the calculation:
Uncorrected formation energy ... -22.189 eV/f.u.
Magnetic moment ... 21.55 Bohr magnetons per cell
Space group ... No. 166
Crystal system ... trigonal


[4]
Entry from the Alexandria database: a geometry-optimized Pu6PSe5 structure (GGA-PBE).

a = 7.164 Å, b = 7.163 Å, c = 7.162 Å
α = 60.00°, β = 80.40°, γ = 70.51°
Site moments in Bohr magnetons follow the coordinates.
Atoms (fractional coordinates):
1 P 0.000 0.000 0.000  -0.14
2 Se 0.500 0.170 0.660  -0.10
3 Se 0.000 0.334 0.332  -0.10
4 Se 0.500 0.500 0.000  -0.10
5 Se 0.000 0.666 0.668  -0.10
6 Se 0.500 0.830 0.340  -0.10
7 Pu 0.757 0.081 0.324  5.40
8 Pu 0.243 0.595 0.324  5.40
9 Pu 0.245 0.241 0.000  5.41
10 Pu 0.755 0.759 0.000  5.41
11 Pu 0.757 0.405 0.676  5.40
12 Pu 0.243 0.919 0.676  5.40

Values from the calculation:
Uncorrected formation energy ... -17.788 eV/f.u.
Magnetic moment ... 33.91 Bohr magnetons per cell
Space group ... No. 12
Crystal system ... monoclinic


no.,total DFT energy (no corrections) (eV per atom)
1,-6.68
2,-10.76
3,-10.66
4,-10.55